Entry 1:
# Rb3AsSe3 | Alexandria via LeMat-Bulk | PBE | optimized geometry
# D(E_F), states/eV/f.u.: 5.64
data_Rb3AsSe3
_chemical_formula_sum 'Rb6 As2 Se6'
_cell_length_a 10.512
_cell_length_b 6.870
_cell_length_c 10.513
_cell_angle_alpha 90.00
_cell_angle_beta 119.81
_cell_angle_gamma 90.00
_symmetry_space_group_name_H-M 'P 1 21/m 1'
_symmetry_Int_Tables_number 11
loop_
_symmetry_equiv_pos_as_xyz
'x,y,z'
'-x,-y,-z'
'-x,y+1/2,-z'
'x,-y+1/2,z'
loop_
_atom_site_label
_atom_site_type_symbol
_atom_site_fract_x
_atom_site_fract_y
_atom_site_fract_z
_atom_site_occupancy
Rb1 Rb 0.135 0.250 0.318 1
Rb2 Rb 0.317 0.750 0.135 1
Rb3 Rb 0.318 0.750 0.683 1
As1 As 0.167 0.250 0.833 1
Se1 Se 0.106 0.750 0.304 1
Se2 Se 0.303 0.250 0.106 1
Se3 Se 0.304 0.250 0.697 1

---

Entry 2:
# Rb4AsSe4 | Alexandria via LeMat-Bulk | PBE | optimized geometry
# Distance to the lowest polymorph of the same formula, kJ/mol of formula units: 123
# D(E_F), states/eV/f.u.: 9.40
data_Rb4AsSe4
_chemical_formula_sum 'Rb8 As2 Se8'
_cell_length_a 10.261
_cell_length_b 10.261
_cell_length_c 6.868
_cell_angle_alpha 90.00
_cell_angle_beta 90.00
_cell_angle_gamma 90.00
_symmetry_space_group_name_H-M 'I 4/m'
_symmetry_Int_Tables_number 87
_symmetry_space_group_name_Hall '-I 4'
loop_
_atom_site_label
_atom_site_type_symbol
_atom_site_fract_x
_atom_site_fract_y
_atom_site_fract_z
_atom_site_occupancy
Rb1 Rb 0.085 0.298 0.000 1
As1 As 0.000 0.000 0.500 1
Se1 Se 0.080 0.239 0.500 1

---

Entry 3:
# Rb8AsSe2 | Alexandria via LeMat-Bulk | PBE | optimized geometry
# D(E_F), states/eV/f.u.: 2.55
data_Rb8AsSe2
_chemical_formula_sum 'Rb16 As2 Se4'
_cell_length_a 5.668
_cell_length_b 9.220
_cell_length_c 17.456
_cell_angle_alpha 90.00
_cell_angle_beta 90.00
_cell_angle_gamma 90.00
_symmetry_space_group_name_H-M 'I m m m'
_symmetry_Int_Tables_number 71
_symmetry_space_group_name_Hall '-I 2 2'
loop_
_atom_site_label
_atom_site_type_symbol
_atom_site_fract_x
_atom_site_fract_y
_atom_site_fract_z
_atom_site_occupancy
Rb1 Rb 0.000 0.000 0.145 1
Rb2 Rb 0.000 0.218 0.345 1
Rb3 Rb 0.000 0.304 0.000 1
As1 As 0.000 0.500 0.500 1
Se1 Se 0.000 0.500 0.195 1

---

Entry 4:
# Rb2AsSe4 | Alexandria via LeMat-Bulk | PBE | optimized geometry
# D(E_F), states/eV/f.u.: 2.59
data_Rb2AsSe4
_chemical_formula_sum 'Rb4 As2 Se8'
_cell_length_a 7.482
_cell_length_b 5.990
_cell_length_c 12.895
_cell_angle_alpha 90.00
_cell_angle_beta 95.75
_cell_angle_gamma 90.00
_symmetry_space_group_name_H-M 'P 1 21/m 1'
_symmetry_Int_Tables_number 11
loop_
_symmetry_equiv_pos_as_xyz
'x,y,z'
'-x,-y,-z'
'-x,y+1/2,-z'
'x,-y+1/2,z'
loop_
_atom_site_label
_atom_site_type_symbol
_atom_site_fract_x
_atom_site_fract_y
_atom_site_fract_z
_atom_site_occupancy
Rb1 Rb 0.222 0.250 0.436 1
Rb2 Rb 0.240 0.250 0.923 1
As1 As 0.292 0.750 0.245 1
Se1 Se 0.016 0.750 0.327 1
Se2 Se 0.245 0.750 0.064 1
Se3 Se 0.400 0.050 0.689 1

---

Entry 5:
# RbAs2Se3 | Alexandria via LeMat-Bulk | PBE | optimized geometry
# Distance to the lowest polymorph of the same formula, kJ/mol of formula units: 0
data_RbAs2Se3
_chemical_formula_sum 'Rb2 As4 Se6'
_cell_length_a 6.481
_cell_length_b 8.526
_cell_length_c 8.548
_cell_angle_alpha 75.00
_cell_angle_beta 73.43
_cell_angle_gamma 76.46
_symmetry_space_group_name_H-M 'P -1'
_symmetry_Int_Tables_number 2
loop_
_symmetry_equiv_pos_as_xyz
'x,y,z'
'-x,-y,-z'
loop_
_atom_site_label
_atom_site_type_symbol
_atom_site_fract_x
_atom_site_fract_y
_atom_site_fract_z
_atom_site_occupancy
Rb1 Rb 0.227 0.181 0.255 1
As1 As 0.018 0.783 0.137 1
As2 As 0.457 0.495 0.368 1
Se1 Se 0.189 0.748 0.374 1
Se2 Se 0.210 0.444 0.831 1
Se3 Se 0.214 0.983 0.782 1

---

Entry 6:
# RbAsSe | Alexandria via LeMat-Bulk | PBE | optimized geometry
# Distance to the lowest polymorph of the same formula, kJ/mol of formula units: 0
# D(E_F), states/eV/f.u.: 0.19
data_RbAsSe
_chemical_formula_sum 'Rb4 As4 Se4'
_cell_length_a 17.580
_cell_length_b 4.116
_cell_length_c 5.787
_cell_angle_alpha 90.00
_cell_angle_beta 105.56
_cell_angle_gamma 90.00
_symmetry_space_group_name_H-M 'C 1 2/m 1'
_symmetry_Int_Tables_number 12
loop_
_symmetry_equiv_pos_as_xyz
'x,y,z'
'-x,-y,-z'
'-x,y,-z'
'x,-y,z'
'x+1/2,y+1/2,z'
'-x+1/2,-y+1/2,-z'
'-x+1/2,y+1/2,-z'
'x+1/2,-y+1/2,z'
loop_
_atom_site_label
_atom_site_type_symbol
_atom_site_fract_x
_atom_site_fract_y
_atom_site_fract_z
_atom_site_occupancy
Rb1 Rb 0.089 0.000 0.344 1
As1 As 0.225 0.500 0.858 1
Se1 Se 0.089 0.500 0.851 1

---

Entry 7:
# RbAsSe3 | Alexandria via LeMat-Bulk | PBE | optimized geometry
# D(E_F), states/eV/f.u.: 5.53
data_RbAsSe3
_chemical_formula_sum 'Rb1 As1 Se3'
_cell_length_a 5.230
_cell_length_b 5.230
_cell_length_c 5.230
_cell_angle_alpha 90.00
_cell_angle_beta 90.00
_cell_angle_gamma 90.00
_symmetry_space_group_name_H-M 'P m -3 m'
_symmetry_Int_Tables_number 221
_symmetry_space_group_name_Hall '-P 4 2 3'
loop_
_atom_site_label
_atom_site_type_symbol
_atom_site_fract_x
_atom_site_fract_y
_atom_site_fract_z
_atom_site_occupancy
Rb1 Rb 0.000 0.000 0.000 1
As1 As 0.500 0.500 0.500 1
Se1 Se 0.000 0.500 0.500 1

---

Entry 8:
# Rb4AsSe4 | Alexandria via LeMat-Bulk | PBE | optimized geometry
# Distance to the lowest polymorph of the same formula, kJ/mol of formula units: 0
# D(E_F), states/eV/f.u.: 4.67
data_Rb4AsSe4
_chemical_formula_sum 'Rb8 As2 Se8'
_cell_length_a 8.064
_cell_length_b 8.064
_cell_length_c 13.698
_cell_angle_alpha 90.00
_cell_angle_beta 90.00
_cell_angle_gamma 90.00
_symmetry_space_group_name_H-M 'I -4 2 m'
_symmetry_Int_Tables_number 121
_symmetry_space_group_name_Hall 'I -4 2'
loop_
_atom_site_label
_atom_site_type_symbol
_atom_site_fract_x
_atom_site_fract_y
_atom_site_fract_z
_atom_site_occupancy
Rb1 Rb 0.000 0.000 0.200 1
Rb2 Rb 0.000 0.500 0.000 1
As1 As 0.000 0.000 0.500 1
Se1 Se 0.178 0.178 0.392 1

---

Summary of magnetization in μB per cell
2.3; 1.9; 1.1; 0.0; 0.0; 0.0; 0.0; 1.4
(order as listed above)
Summary of energy relative to the elements, uncorrected in eV/atom
-0.67; -0.64; -0.56; -0.53; -0.41; -0.65; -0.18; -0.79
(order as listed above)